Record 1
Here is a relaxed AgOs3F crystal from Alexandria. Energies are from PBE.

For the magnetic moment, the calculation gives 8.43 μB per formula unit. The calculation puts the energy above the lowest structure with this stoichiometry at 6.71 eV per formula unit. The value obtained for the total energy is -22.724 eV for the cell shown. As for the energy relative to the elements, uncorrected: 3137 meV per atom.

a b c (Å): 4.923 4.923 4.923
angles (deg): 90.00 90.00 90.00
Each line ends with the local moment (μB).
Atoms (fractional coordinates):
F (0.500, 0.500, 0.500)  0.23
Ag (0.000, 0.000, 0.000)  0.19
Os (0.000, 0.500, 0.000)  2.49
Os (0.500, 0.000, 0.000)  1.89
Os (0.000, 0.000, 0.500)  2.93

Record 2
Here is a relaxed EuDy2Tm crystal from Alexandria. Energies are from PBE.

For the magnetic moment, the calculation gives 8.24 μB per formula unit. The calculation puts the energy above the lowest structure with this stoichiometry at 0.43 eV per formula unit. The value obtained for the total energy is -23.286 eV for the cell shown.

a b c (Å): 5.713 5.713 5.713
angles (deg): 60.00 60.00 60.00
Each line ends with the local moment (μB).
Atoms (fractional coordinates):
Eu (0.000, 0.000, 0.000)  6.89
Dy (0.750, 0.750, 0.750)  0.25
Dy (0.250, 0.250, 0.250)  0.25
Tm (0.500, 0.500, 0.500)  0.25

Record 3
Here is a relaxed Dy5Cd4Rh crystal from Alexandria. Energies are from PBE.

For the magnetic moment, the calculation gives 0.04 μB per formula unit. The value obtained for the total energy is -38.323 eV for the cell shown.

a b c (Å): 3.624 3.624 18.922
angles (deg): 90.00 90.00 90.00
Atoms (fractional coordinates):
Dy (0.500, 0.500, 0.500)
Cd (0.000, 0.000, 0.397)
Dy (0.500, 0.500, 0.084)
Cd (0.000, 0.000, 0.603)
Dy (0.500, 0.500, 0.706)
Cd (0.000, 0.000, 0.808)
Cd (0.000, 0.000, 0.192)
Dy (0.500, 0.500, 0.294)
Rh (0.000, 0.000, 0.000)
Dy (0.500, 0.500, 0.916)

Record 4
Here is a relaxed Al2Bi2Pb crystal from Alexandria. Energies are from PBE.

For the magnetic moment, the calculation gives 0.00 μB per formula unit. The calculation puts the energy above the lowest structure with this stoichiometry at 0.15 eV per formula unit. The value obtained for the total energy is -17.910 eV for the cell shown.

a b c (Å): 5.528 5.528 6.105
angles (deg): 63.08 63.08 90.00
Atoms (fractional coordinates):
Pb (0.000, 0.000, 0.000)
Bi (0.250, 0.750, 0.500)
Al (0.364, 0.364, 0.273)
Al (0.636, 0.636, 0.727)
Bi (0.750, 0.250, 0.500)